Entry 1:
Cr2TeCl | PBE-GGA | relaxed

The space group is Cmmm (No. 65) and the conventional cell measures 3.880, 7.010 and 7.459 Å, with angles of 90.00, 90.00 and 90.00 degrees. The distinct sites, in fractional coordinates, are Cr at (0.000, 0.000, 0.244), Te at (0.000, 0.500, 0.500) and Cl at (0.000, 0.500, 0.000).

As for the calculated volume: 25.36 Å³/atom. The excess energy over the best structure of this formula in the dataset comes out at 5.250 kcal/mol of atoms. As for the total energy: -5.89 eV per atom.



Entry 2:
InIr2W | PBE-GGA | relaxed

The space group is P4mm (No. 99) and the conventional cell measures 2.879, 2.879 and 7.912 Å, with angles of 90.00, 90.00 and 90.00 degrees. The distinct sites, in fractional coordinates, are In at (0.000, 0.000, 0.000), Ir at (0.000, 0.000, 0.498), Ir at (0.500, 0.500, 0.248) and W at (0.500, 0.500, 0.716).

The value obtained for the formation energy is 0.186 eV/atom. As for the calculated volume: 16.40 Å³/atom. As for the total energy: -8.17 eV per atom.



Entry 3:
Ni2PAu | PBE-GGA | relaxed

The space group is P2/m (No. 10) and the conventional cell measures 3.093, 3.514 and 5.203 Å, with angles of 90.00, 107.29 and 90.00 degrees. The distinct sites, in fractional coordinates, are Ni at (0.146, 0.000, 0.290), P at (0.500, 0.500, 0.500) and Au at (0.500, 0.500, 0.000).

The value obtained for the formation energy is -0.105 eV/atom. As for the calculated volume: 13.50 Å³/atom. As for the total energy: -5.17 eV per atom.



Entry 4:
MgAu3F | PBE-GGA | relaxed

The space group is Pm-3m (No. 221) and the conventional cell measures 4.941, 4.941 and 4.941 Å, with angles of 90.00, 90.00 and 90.00 degrees. The distinct sites, in fractional coordinates, are Mg at (0.000, 0.000, 0.000), Au at (0.000, 0.000, 0.500) and F at (0.500, 0.500, 0.500).

As for the calculated volume: 24.13 Å³/atom. The excess energy over the best structure of this formula in the dataset comes out at 6.573 kcal/mol of atoms. As for the total energy: -2.26 eV per atom.



Number 1: mass density 4.37 g cm⁻³. Number 2: mass density 17.29 g cm⁻³. Number 3: mass density 10.62 g cm⁻³. Number 4: mass density 8.73 g cm⁻³.